Crystalline Na3Ni3RhO8 at its relaxed geometry. Source: Alexandria, functional GGA+U.

Structure (extended XYZ):
```
15
Lattice="5.231 -3.017 0.000 5.231 3.017 0.000 -3.482 0.000 5.403" Properties=species:S:1:pos:R:3 pbc="T T T"
Na 0.000 0.000 0.000
Na 2.616 1.508 0.000
Na 2.616 -1.508 0.000
Ni 0.875 1.508 2.701
Ni 0.875 -1.508 2.701
Ni 3.490 0.000 2.701
Rh -1.741 0.000 2.701
O -0.071 0.000 3.765
O 2.657 1.571 3.765
O 4.324 1.571 1.638
O 1.739 0.000 1.720
O 5.242 0.000 3.683
O 2.657 -1.571 3.765
O 4.324 -1.571 1.638
O 7.051 0.000 1.638
```

Summary:
Energy (eV/atom): -4.98